Entry 1:
Material: AcHoHg
Method: DFT, PBE-GGA
State: relaxed

Lattice parameters (Å, degrees): 5.2868 5.2868 4.1029 90.00 90.00 120.00
With the nearest neighbours (Å) after each atom.
Space group P-6m2 (No. 187)
Symmetry-distinct sites (fractional):
Ac 0.0000 0.0000 0.0000  6 Hg 3.68, 6 Ho 3.68, 2 Ac 4.10
Ho 0.6667 0.3333 0.5000  3 Hg 3.05
Hg 0.3333 0.6667 0.5000  3 Ho 3.05

Results
- Total magnetic moment: 0.0 Bohr magnetons per cell
- Final energy: -9.58 eV/cell
- Energy relative to the lowest polymorph listed for this composition: 128 meV/atom
- Energy of formation from the pure elements: -0.198 eV per atom

***

Entry 2:
Material: TlPAu3
Method: DFT, PBE-GGA
State: relaxed

Lattice parameters (Å, degrees): 5.2651 5.2651 5.2651 90.00 90.00 90.00
With the nearest neighbours (Å) after each atom.
Space group Pm-3m (No. 221)
Symmetry-distinct sites (fractional):
Tl 0.0000 0.0000 0.0000  6 Au 2.63
P 0.5000 0.5000 0.5000  12 Au 3.72
Au 0.0000 0.0000 0.5000  2 Tl 2.63

Results
- Total magnetic moment: 1.7 Bohr magnetons per cell
- Final energy: -11.50 eV/cell
- Energy relative to the lowest polymorph listed for this composition: 1166 meV/atom
- Energy of formation from the pure elements: 1.222 eV per atom

***

Entry 3:
Material: Mn5Sb
Method: DFT, PBE-GGA
State: relaxed

Lattice parameters (Å, degrees): 8.3865 3.6632 5.4045 90.00 108.47 90.00
With the nearest neighbours (Å) after each atom.
Space group C2/m (No. 12)
Symmetry-distinct sites (fractional):
Mn 0.0000 0.0000 0.0000  10 Mn 2.57-2.63, 2 Sb 2.70
Mn 0.1663 0.5000 0.3134  8 Mn 2.51-2.76, 3 Sb 2.66-2.68
Mn 0.1769 0.5000 0.8547  9 Mn 2.47-2.73, 2 Sb 2.73
Sb 0.0000 0.0000 0.5000  12 Mn 2.66-2.73

Results
- Total magnetic moment: 5.4 Bohr magnetons per cell
- Final energy: -98.83 eV/cell
- Energy relative to the lowest polymorph listed for this composition: 17 meV/atom

***

Entry 4:
Material: Ta2GaCu
Method: DFT, PBE-GGA
State: relaxed

Lattice parameters (Å, degrees): 7.0589 7.0589 5.4661 90.00 90.00 90.00
With the nearest neighbours (Å) after each atom.
Space group I-42d (No. 122)
Symmetry-distinct sites (fractional):
Ta 0.2395 0.2500 0.1250  2 Cu 2.54, 2 Ga 2.64, 2 Ta 2.74
Ga 0.0000 0.0000 0.5000  4 Ta 2.64, 2 Cu 2.73
Cu 0.0000 0.0000 0.0000  4 Ta 2.54, 2 Ga 2.73

Results
- Total magnetic moment: 0.0 Bohr magnetons per cell
- Final energy: -117.34 eV/cell
- Energy of formation from the pure elements: 0.373 eV per atom

***

Entry 5:
Material: Cd2AgP2
Method: DFT, PBE-GGA
State: relaxed

Lattice parameters (Å, degrees): 3.3084 3.3084 17.8910 90.00 90.00 90.00
With the nearest neighbours (Å) after each atom.
Space group I4/mmm (No. 139)
Symmetry-distinct sites (fractional):
Cd 0.0000 0.0000 0.1021  4 Ag 2.97, 4 P 3.12, 4 Cd 3.31
Ag 0.0000 0.0000 0.5000  8 Cd 2.97, 4 Ag 3.31
P 0.0000 0.5000 0.2500  4 P 2.34

Results
- Total magnetic moment: 0.0 Bohr magnetons per cell
- Final energy: -29.41 eV/cell
- Energy relative to the lowest polymorph listed for this composition: 0 meV/atom
- Energy of formation from the pure elements: 0.160 eV per atom

***

Entry 6:
Material: Li2AcDy2In2
Method: DFT, PBE-GGA
State: relaxed

Lattice parameters (Å, degrees): 4.9591 4.9591 27.7909 90.00 90.00 120.00
With the nearest neighbours (Å) after each atom.
Space group R-3m (No. 166, hexagonal axes)
Symmetry-distinct sites (fractional):
Li 0.0000 0.0000 0.0821  3 In 2.87, 3 Dy 3.15
Ac 0.0000 0.0000 0.5000  6 In 3.64, 2 Dy 3.65, 6 Li 3.70
Dy 0.0000 0.0000 0.3686  3 Li 3.15, 4 In 3.19-3.37, 3 Dy 3.47
In 0.0000 0.0000 0.2473  3 Li 2.87, 3 Dy 3.19

Results
- Total magnetic moment: 0.0 Bohr magnetons per cell
- Final energy: -72.95 eV/cell
- Energy of formation from the pure elements: -0.243 eV per atom